Density functional theory data (PBE-GGA) for an optimized crystal structure of ZnInNi6.

```
ZnInNi6
1.0
3.643 -5.197 0.000
3.643 5.197 0.000
0.000 0.000 10.392
Zn In Ni
4 4 24
direct
0.000 0.000 0.245
0.000 0.000 0.755
0.254 0.746 0.000
0.746 0.254 0.000
0.255 0.745 0.500
0.500 0.500 0.247
0.500 0.500 0.753
0.745 0.255 0.500
0.000 0.000 0.000
0.000 0.000 0.500
0.116 0.370 0.120
0.116 0.370 0.880
0.119 0.364 0.370
0.119 0.364 0.630
0.246 0.754 0.242
0.246 0.754 0.758
0.364 0.119 0.370
0.364 0.119 0.630
0.370 0.116 0.120
0.370 0.116 0.880
0.500 0.500 0.000
0.500 0.500 0.500
0.630 0.884 0.120
0.630 0.884 0.880
0.636 0.881 0.370
0.636 0.881 0.630
0.754 0.246 0.242
0.754 0.246 0.758
0.881 0.636 0.370
0.881 0.636 0.630
0.884 0.630 0.120
0.884 0.630 0.880
```

Energy of formation = -0.065 eV per atom
Relative energy among the computed polymorphs = 0.01 eV/f.u.
Calculated total energy = -4.902 eV/atom